Record 1
A geometry-optimized Ca3NiRu structure. Source: Alexandria, functional GGA-PBE.

Calculated values
ΔE_f	0.556	eV/atom
energy	-18.28	eV/f.u.
spin magnetization	0.00	μB per formula unit
distance to the lowest polymorph of the same formula	0	meV/atom

The structure in CIF format:
```
data_Ca3NiRu
_space_group_name_H-M_alt 'P m -3 m'
_space_group_IT_number 221
_space_group_name_Hall '-P 4 2 3'
_cell_length_a 5.2830
_cell_length_b 5.2830
_cell_length_c 5.2830
_cell_angle_alpha 90.00
_cell_angle_beta 90.00
_cell_angle_gamma 90.00
loop_
_atom_site_label
_atom_site_type_symbol
_atom_site_fract_x
_atom_site_fract_y
_atom_site_fract_z
Ca1 Ca 0.0000 0.0000 0.5000
Ni1 Ni 0.5000 0.5000 0.5000
Ru1 Ru 0.0000 0.0000 0.0000
```

---

Record 2
A geometry-optimized CaNiRu2 structure. Source: Alexandria, functional GGA-PBE.

Calculated values
ΔE_f	0.427	eV/atom
energy	-24.63	eV/f.u.
spin magnetization	0.00	μB per formula unit
distance to the lowest polymorph of the same formula	179	meV/atom

The structure in CIF format:
```
data_CaNiRu2
_space_group_name_H-M_alt 'P m m m'
_space_group_IT_number 47
_space_group_name_Hall '-P 2 2'
_cell_length_a 2.8847
_cell_length_b 4.5656
_cell_length_c 4.7293
_cell_angle_alpha 90.00
_cell_angle_beta 90.00
_cell_angle_gamma 90.00
loop_
_atom_site_label
_atom_site_type_symbol
_atom_site_fract_x
_atom_site_fract_y
_atom_site_fract_z
Ca1 Ca 0.0000 0.0000 0.0000
Ni1 Ni 0.5000 0.5000 0.0000
Ru1 Ru 0.0000 0.5000 0.5000
Ru2 Ru 0.5000 0.0000 0.5000
```

---

Record 3
A geometry-optimized Ca2Si4Ni3Ru structure. Source: Alexandria, functional GGA-PBE.

Calculated values
energy	-58.94	eV/f.u.
spin magnetization	0.00	μB per formula unit
E_form (uncorrected)	-0.662	eV/atom

The structure in CIF format:
```
data_Ca2Si4Ni3Ru
_space_group_name_H-M_alt 'P -4 m 2'
_space_group_IT_number 115
_space_group_name_Hall 'P -4 -2'
_cell_length_a 3.9739
_cell_length_b 3.9739
_cell_length_c 9.8808
_cell_angle_alpha 90.00
_cell_angle_beta 90.00
_cell_angle_gamma 90.00
loop_
_atom_site_label
_atom_site_type_symbol
_atom_site_fract_x
_atom_site_fract_y
_atom_site_fract_z
Ca1 Ca 0.0000 0.5000 0.2427
Si1 Si 0.0000 0.0000 0.0000
Si2 Si 0.0000 0.5000 0.6308
Si3 Si 0.5000 0.5000 0.0000
Ni1 Ni 0.0000 0.5000 0.8736
Ni2 Ni 0.5000 0.5000 0.5000
Ru1 Ru 0.0000 0.0000 0.5000
```

---

Record 4
A geometry-optimized CaSi2NiRu structure. Source: Alexandria, functional GGA-PBE.

Calculated values
energy	-31.38	eV/f.u.
spin magnetization	0.00	μB per formula unit
E_form (uncorrected)	-0.694	eV/atom

The structure in CIF format:
```
data_CaSi2NiRu
_space_group_name_H-M_alt 'I -4 m 2'
_space_group_IT_number 119
_space_group_name_Hall 'I -4 -2'
_cell_length_a 4.0086
_cell_length_b 4.0086
_cell_length_c 10.0841
_cell_angle_alpha 90.00
_cell_angle_beta 90.00
_cell_angle_gamma 90.00
loop_
_atom_site_label
_atom_site_type_symbol
_atom_site_fract_x
_atom_site_fract_y
_atom_site_fract_z
Ca1 Ca 0.0000 0.0000 0.0000
Si1 Si 0.0000 0.0000 0.3728
Ni1 Ni 0.0000 0.5000 0.2500
Ru1 Ru 0.0000 0.5000 0.7500
```